Record 1
VASP calculation (PBE-GGA) on crystalline Rb2SnRhBr6 at its relaxed geometry.

Properties
final energy = -0.1214 hartree per atom
energy relative to the elements, uncorrected = -0.970 eV per atom

Cell and atoms, written as POSCAR:
```
Rb2SnRhBr6
1.0
7.7539 0.0000 0.0000
0.0000 7.7539 0.0000
3.8770 3.8770 5.4944
Br Rb Rh Sn
6 2 1 1
Direct
0.7362 0.2638 0.0000 Br
0.7362 0.7362 0.0000 Br
0.2638 0.2638 0.0000 Br
0.2638 0.7362 0.0000 Br
0.7363 0.7363 0.5274 Br
0.2637 0.2637 0.4726 Br
0.2500 0.7500 0.5000 Rb
0.7500 0.2500 0.5000 Rb
0.5000 0.5000 0.0000 Rh
0.0000 0.0000 0.0000 Sn
```



Record 2
VASP calculation (PBE-GGA) on crystalline Rb2SrTlBi2 at its relaxed geometry.

Properties
final energy = -0.1006 hartree per atom
DFT formation energy = -446 meV per atom

Cell and atoms, written as POSCAR:
```
Rb2SrTlBi2
1.0
-4.8016 2.4312 1.9928
0.7271 -4.4181 7.1420
5.5163 7.5344 4.0993
Rb Sr Bi Tl
4 2 4 2
Direct
0.5000 0.5080 0.9188 Rb
0.5000 0.0080 0.0812 Rb
0.0000 0.8249 0.8446 Rb
0.0000 0.3249 0.1554 Rb
0.0000 0.5148 0.5205 Sr
0.0000 0.0148 0.4795 Sr
0.0000 0.7535 0.2140 Bi
0.0000 0.2535 0.7860 Bi
0.5000 0.2825 0.3833 Bi
0.5000 0.7825 0.6167 Bi
0.5000 0.6618 0.3155 Tl
0.5000 0.1618 0.6845 Tl
```



Record 3
VASP calculation (PBE-GGA) on crystalline NaNdSeO4 at its relaxed geometry.

Properties
final energy = -0.2187 hartree per atom
energy relative to the elements, uncorrected = -1.751 eV per atom

Cell and atoms, written as POSCAR:
```
NaNdSeO4
1.0
-6.9782 -1.7448 0.5927
-2.9075 -4.6167 -3.8794
-2.0765 -5.5872 3.0477
Se Na O Nd
2 2 8 2
Direct
0.4034 0.3466 0.8466 Se
0.5966 0.6534 0.1534 Se
0.0000 0.0000 0.5000 Na
0.5000 0.0000 0.5000 Na
0.7169 0.3381 0.2282 O
0.7169 0.7282 0.8381 O
0.2831 0.2718 0.1619 O
0.2136 0.2486 0.7486 O
0.7891 0.2486 0.7486 O
0.2831 0.6619 0.7718 O
0.2109 0.7514 0.2514 O
0.7864 0.7514 0.2514 O
0.0000 0.0000 0.0000 Nd
0.0000 0.5000 0.5000 Nd
```



Record 4
VASP calculation (PBE-GGA) on crystalline MgHRh2Pb at its relaxed geometry.

Properties
final energy = -0.1794 hartree per atom

Cell and atoms, written as POSCAR:
```
MgHRh2Pb
1.0
-0.1930 1.9811 3.6876
-3.8707 -1.4902 0.5980
1.5098 -3.2002 1.7982
Pb Rh Mg H
1 2 1 1
Direct
0.5000 0.5000 0.5000 Pb
0.5000 0.0000 0.0000 Rh
0.0000 0.5000 0.0000 Rh
0.0000 0.0000 0.5000 Mg
0.0000 0.0000 0.0000 H
```